No. 1
Ac2Pr9Ho | PBE-GGA | relaxed

The space group is P4/mmm (No. 123) and the conventional cell measures 6.2124, 6.2124 and 11.5295 Å, with angles of 90.00, 90.00 and 90.00 degrees. The asymmetric unit holds Ac at (0.0000, 0.0000, 0.1702), Pr at (0.0000, 0.5000, 0.0000), Pr at (0.0000, 0.5000, 0.3424), Pr at (0.5000, 0.5000, 0.1624), Pr at (0.5000, 0.5000, 0.5000) and Ho at (0.0000, 0.0000, 0.5000).

No. 2
Ac6Pr5Ho2 | PBE-GGA | relaxed

The space group is Pbam (No. 55) and the conventional cell measures 11.4284, 24.1798 and 3.7715 Å, with angles of 90.00, 90.00 and 90.00 degrees. The asymmetric unit holds Ac at (0.0190, 0.1132, 0.0000), Ac at (0.1464, 0.3844, 0.0000), Ac at (0.1658, 0.6347, 0.5000), Pr at (0.0000, 0.5000, 0.5000), Pr at (0.0849, 0.2491, 0.5000), Pr at (0.1651, 0.9967, 0.5000) and Ho at (0.1652, 0.7662, 0.0000).

No. 3
Ac2Pr8Ho3 | PBE-GGA | relaxed

The space group is C2/m (No. 12) and the conventional cell measures 13.5273, 12.1264 and 6.3243 Å, with angles of 90.00, 113.30 and 90.00 degrees. The asymmetric unit holds Ac at (0.1975, 0.0000, 0.3374), Pr at (0.0788, 0.0000, 0.7576), Pr at (0.1400, 0.5000, 0.0716), Pr at (0.1600, 0.2518, 0.6611), Ho at (0.0000, 0.2405, 0.0000) and Ho at (0.0000, 0.5000, 0.5000).

No. 4
Ac5Pr2Ho4 | PBE-GGA | relaxed

The space group is C2/m (No. 12) and the conventional cell measures 25.3759, 3.7648 and 9.0326 Å, with angles of 90.00, 95.95 and 90.00 degrees. The asymmetric unit holds Ac at (0.0000, 0.0000, 0.0000), Ac at (0.1342, 0.5000, 0.0468), Ac at (0.1822, 0.5000, 0.4763), Pr at (0.0851, 0.0000, 0.6870), Ho at (0.0372, 0.5000, 0.3478) and Ho at (0.2259, 0.0000, 0.8301).

No. 5
AcPr15Ho4 | PBE-GGA | relaxed

The space group is P4/mmm (No. 123) and the conventional cell measures 5.2256, 5.2256 and 26.0447 Å, with angles of 90.00, 90.00 and 90.00 degrees. The asymmetric unit holds Ac at (0.0000, 0.0000, 0.0000), Pr at (0.0000, 0.5000, 0.1052), Pr at (0.0000, 0.5000, 0.3026), Pr at (0.0000, 0.5000, 0.5000), Pr at (0.5000, 0.5000, 0.0000), Pr at (0.5000, 0.5000, 0.2049), Pr at (0.5000, 0.5000, 0.4013), Ho at (0.0000, 0.0000, 0.2038) and Ho at (0.0000, 0.0000, 0.4014).

No. 6
Ac9PrHo2 | PBE-GGA | relaxed

The space group is P4/mmm (No. 123) and the conventional cell measures 5.4983, 5.4983 and 16.5233 Å, with angles of 90.00, 90.00 and 90.00 degrees. The asymmetric unit holds Ac at (0.0000, 0.0000, 0.0000), Ac at (0.0000, 0.0000, 0.3348), Ac at (0.0000, 0.5000, 0.1691), Ac at (0.0000, 0.5000, 0.5000), Pr at (0.5000, 0.5000, 0.0000) and Ho at (0.5000, 0.5000, 0.3347).

| no. | total DFT energy (no corrections) (eV per atom) |
| --- | --- |
| 1 | -4.5406 |
| 2 | -4.3009 |
| 3 | -4.4499 |
| 4 | -4.2697 |
| 5 | -4.6891 |
| 6 | -4.2111 |